No. 1
Density functional theory data (PBE) for an optimized crystal structure of ZnCuPtO6.

POSCAR file:
```
ZnCuPtO6
1.0
5.089 0.000 0.000
-2.545 4.407 0.000
0.000 0.000 8.624
Zn O Pt Cu
2 12 2 2
Direct
0.000 0.000 0.000 Zn
0.000 0.000 0.500 Zn
0.645 0.994 0.871 O
0.355 0.006 0.129 O
0.006 0.651 0.871 O
0.645 0.651 0.629 O
0.349 0.994 0.629 O
0.006 0.355 0.629 O
0.994 0.349 0.129 O
0.651 0.645 0.129 O
0.349 0.355 0.871 O
0.994 0.645 0.371 O
0.355 0.349 0.371 O
0.651 0.006 0.371 O
0.667 0.333 0.750 Pt
0.333 0.667 0.250 Pt
0.333 0.667 0.750 Cu
0.667 0.333 0.250 Cu
```

Values from the calculation:
Symmetry = P-31c (163)
Uncorrected formation energy = -3.57 eV per formula unit
D(E_F) = 0.858 states/eV per atom
Crystal system = trigonal

---

No. 2
Density functional theory data (PBE) for an optimized crystal structure of ZrCu2PtO.

POSCAR file:
```
ZrCu2PtO
1.0
4.948 0.000 0.000
0.000 4.909 0.000
0.000 0.000 4.948
Zr Cu Pt O
1 2 1 1
Direct
0.000 0.000 0.000 Zr
0.500 0.000 0.000 Cu
0.000 0.000 0.500 Cu
0.000 0.500 0.000 Pt
0.500 0.500 0.500 O
```

Values from the calculation:
Symmetry = P4/mmm (123)
Uncorrected formation energy = 8.46 eV per formula unit
D(E_F) = 1.525 states/eV per atom
Crystal system = tetragonal

---

No. 3
Density functional theory data (PBE) for an optimized crystal structure of PuCu3O6.

POSCAR file:
```
PuCu3O6
1.0
5.306 0.386 2.518
2.112 5.340 2.790
0.268 0.222 5.680
Cu O Pu
3 6 1
Direct
0.500 0.000 0.500 Cu
0.500 0.500 0.500 Cu
0.500 0.500 0.000 Cu
0.693 0.236 0.295 O
0.248 0.176 0.799 O
0.740 0.297 0.744 O
0.752 0.824 0.201 O
0.307 0.764 0.705 O
0.260 0.703 0.256 O
0.000 0.000 0.000 Pu
```

Values from the calculation:
Symmetry = P-1 (2)
Uncorrected formation energy = -12.36 eV per formula unit
D(E_F) = 0.476 states/eV per atom
Crystal system = triclinic

---

No. 4
Density functional theory data (PBE) for an optimized crystal structure of Pu2CuO.

POSCAR file:
```
Pu2CuO
1.0
-1.352 2.836 0.760
-2.643 1.002 -1.568
-6.419 -2.752 5.731
Pu Cu O
2 1 1
Direct
0.892 0.892 0.323 Pu
0.108 0.108 0.677 Pu
0.000 0.000 0.000 Cu
0.500 0.500 0.500 O
```

Values from the calculation:
Symmetry = R-3m (166)
Uncorrected formation energy = -2.60 eV per formula unit
D(E_F) = 3.466 states/eV per atom
Crystal system = trigonal

---

No. 5
Density functional theory data (PBE) for an optimized crystal structure of PuCuO5.

POSCAR file:
```
PuCuO5
1.0
-2.775 -11.245 0.760
3.340 -1.125 -4.441
6.471 -1.424 2.561
O Pu Cu
20 4 4
Direct
0.295 0.284 0.801 O
0.397 0.754 0.690 O
0.906 0.627 0.013 O
0.094 0.373 0.987 O
0.595 0.624 0.928 O
0.556 0.194 0.821 O
0.944 0.194 0.321 O
0.897 0.246 0.810 O
0.103 0.754 0.190 O
0.594 0.627 0.513 O
0.795 0.716 0.699 O
0.705 0.716 0.199 O
0.405 0.376 0.072 O
0.444 0.806 0.179 O
0.205 0.284 0.301 O
0.056 0.806 0.679 O
0.905 0.624 0.428 O
0.603 0.246 0.310 O
0.095 0.376 0.572 O
0.406 0.373 0.487 O
0.479 0.476 0.755 Pu
0.021 0.476 0.255 Pu
0.979 0.524 0.745 Pu
0.521 0.524 0.245 Pu
0.750 0.663 0.461 Cu
0.750 0.663 0.961 Cu
0.250 0.337 0.539 Cu
0.250 0.337 0.039 Cu
```

Values from the calculation:
Symmetry = P2_1/c (14)
Uncorrected formation energy = -10.53 eV per formula unit
D(E_F) = 0.509 states/eV per atom
Crystal system = monoclinic

---

No. 6
Density functional theory data (PBE) for an optimized crystal structure of Pu3Cu5O16.

POSCAR file:
```
Pu3Cu5O16
1.0
6.345 -0.044 -0.450
3.058 5.560 -0.450
-0.800 -0.470 9.612
O Cu Pu
16 5 3
Direct
0.967 0.565 0.647 O
0.869 0.869 0.407 O
0.565 0.967 0.647 O
0.019 0.019 0.701 O
0.788 0.350 0.399 O
0.989 0.989 0.194 O
0.324 0.324 0.389 O
0.526 0.974 0.181 O
0.350 0.788 0.399 O
0.436 0.436 0.155 O
0.130 0.679 0.911 O
0.535 0.535 0.680 O
0.679 0.130 0.911 O
0.974 0.526 0.181 O
0.670 0.670 0.880 O
0.179 0.179 0.885 O
0.850 0.343 0.790 Cu
0.343 0.850 0.790 Cu
0.156 0.156 0.295 Cu
0.350 0.350 0.954 Cu
0.650 0.650 0.528 Cu
0.157 0.655 0.289 Pu
0.841 0.841 0.784 Pu
0.655 0.157 0.289 Pu
```

Values from the calculation:
Symmetry = Cm (8)
Uncorrected formation energy = -31.08 eV per formula unit
D(E_F) = 0.605 states/eV per atom
Crystal system = monoclinic

---

No. 7
Density functional theory data (PBE) for an optimized crystal structure of PuCu2O6.

POSCAR file:
```
PuCu2O6
1.0
3.437 -0.081 -1.055
-2.298 8.564 -2.152
0.235 0.418 7.995
O Pu Cu
12 2 4
Direct
0.613 0.015 0.219 O
0.940 0.787 0.030 O
0.827 0.382 0.271 O
0.632 0.407 0.847 O
0.387 0.985 0.781 O
0.602 0.686 0.555 O
0.368 0.593 0.153 O
0.398 0.314 0.445 O
0.064 0.830 0.367 O
0.060 0.213 0.970 O
0.173 0.618 0.729 O
0.936 0.170 0.633 O
0.487 0.808 0.186 Pu
0.513 0.192 0.814 Pu
0.355 0.434 0.274 Cu
0.131 0.739 0.560 Cu
0.869 0.261 0.440 Cu
0.645 0.566 0.726 Cu
```

Values from the calculation:
Symmetry = P-1 (2)
Uncorrected formation energy = -11.72 eV per formula unit
D(E_F) = 0.123 states/eV per atom
Crystal system = triclinic

---

No. 8
Density functional theory data (PBE) for an optimized crystal structure of PuCu6O12.

POSCAR file:
```
PuCu6O12
1.0
6.056 0.000 -2.141
-3.028 5.245 -2.141
0.000 0.000 6.423
O Cu Pu
12 6 1
Direct
0.852 0.676 0.528 O
0.148 0.324 0.472 O
0.852 0.324 0.175 O
0.472 0.148 0.324 O
0.324 0.175 0.852 O
0.825 0.148 0.676 O
0.175 0.852 0.324 O
0.324 0.472 0.148 O
0.148 0.676 0.825 O
0.676 0.528 0.852 O
0.676 0.825 0.148 O
0.528 0.852 0.676 O
0.664 0.500 0.164 Cu
0.836 0.336 0.500 Cu
0.500 0.164 0.664 Cu
0.500 0.836 0.336 Cu
0.164 0.664 0.500 Cu
0.336 0.500 0.836 Cu
0.000 0.000 0.000 Pu
```

Values from the calculation:
Symmetry = Im-3 (204)
Uncorrected formation energy = -4.72 eV per formula unit
D(E_F) = 0.945 states/eV per atom
Crystal system = cubic

---

No. 9
Density functional theory data (PBE) for an optimized crystal structure of Pu2Cu5O12.

POSCAR file:
```
Pu2Cu5O12
1.0
-3.564 -4.491 3.084
3.706 -1.387 -4.608
3.106 4.013 9.433
Pu Cu O
2 5 12
Direct
0.750 0.000 0.000 Pu
0.250 0.000 0.000 Pu
0.752 0.505 0.003 Cu
0.275 0.551 0.500 Cu
0.248 0.495 0.997 Cu
0.000 0.000 0.500 Cu
0.725 0.449 0.500 Cu
0.491 0.983 0.865 O
0.498 0.495 0.865 O
0.344 0.292 0.511 O
0.013 0.026 0.139 O
0.997 0.495 0.865 O
0.052 0.708 0.489 O
0.987 0.974 0.861 O
0.003 0.505 0.135 O
0.509 0.017 0.135 O
0.502 0.505 0.135 O
0.948 0.292 0.511 O
0.656 0.708 0.489 O
```

Values from the calculation:
Symmetry = C2/m (12)
Uncorrected formation energy = -21.13 eV per formula unit
D(E_F) = 0.648 states/eV per atom
Crystal system = monoclinic

---

No. 10
Density functional theory data (PBE) for an optimized crystal structure of Pu2CuO8.

POSCAR file:
```
Pu2CuO8
1.0
-3.172 3.977 -1.179
-1.291 -4.999 -3.319
-2.893 -4.330 3.248
O Cu Pu
8 1 2
Direct
0.732 0.669 0.082 O
0.268 0.918 0.331 O
0.732 0.082 0.669 O
0.334 0.368 0.368 O
0.666 0.632 0.632 O
0.226 0.816 0.816 O
0.268 0.331 0.918 O
0.774 0.184 0.184 O
0.000 0.000 0.000 Cu
0.558 0.279 0.279 Pu
0.442 0.721 0.721 Pu
```

Values from the calculation:
Symmetry = C2/m (12)
Uncorrected formation energy = -19.65 eV per formula unit
D(E_F) = 0.909 states/eV per atom
Crystal system = monoclinic

---

No. 11
Density functional theory data (PBE) for an optimized crystal structure of Pu3Cu5O12.

POSCAR file:
```
Pu3Cu5O12
1.0
10.669 0.000 0.000
-3.556 10.058 0.000
-3.556 -5.029 8.711
O Cu Pu
48 20 12
Direct
0.673 0.457 0.587 O
0.827 0.913 0.043 O
0.913 0.827 0.543 O
0.327 0.543 0.413 O
0.130 0.413 0.087 O
0.087 0.913 0.370 O
0.543 0.217 0.130 O
0.587 0.630 0.413 O
0.870 0.283 0.457 O
0.087 0.173 0.457 O
0.413 0.370 0.587 O
0.457 0.673 0.087 O
0.217 0.673 0.087 O
0.957 0.370 0.283 O
0.173 0.087 0.717 O
0.413 0.130 0.587 O
0.283 0.413 0.827 O
0.370 0.413 0.087 O
0.087 0.913 0.130 O
0.587 0.957 0.673 O
0.587 0.717 0.673 O
0.673 0.217 0.587 O
0.783 0.327 0.913 O
0.783 0.457 0.370 O
0.717 0.130 0.043 O
0.587 0.870 0.413 O
0.087 0.173 0.217 O
0.217 0.543 0.630 O
0.913 0.087 0.630 O
0.457 0.783 0.870 O
0.870 0.587 0.913 O
0.630 0.043 0.217 O
0.957 0.587 0.173 O
0.043 0.413 0.827 O
0.370 0.957 0.783 O
0.827 0.913 0.283 O
0.043 0.630 0.717 O
0.913 0.827 0.783 O
0.130 0.717 0.543 O
0.283 0.870 0.957 O
0.543 0.327 0.913 O
0.630 0.587 0.913 O
0.913 0.087 0.870 O
0.413 0.283 0.327 O
0.413 0.043 0.327 O
0.173 0.087 0.957 O
0.717 0.587 0.173 O
0.327 0.783 0.413 O
0.375 0.250 0.125 Cu
0.000 0.500 0.000 Cu
0.000 0.000 0.000 Cu
0.125 0.375 0.250 Cu
0.750 0.625 0.375 Cu
0.500 0.000 0.500 Cu
0.000 0.500 0.500 Cu
0.125 0.750 0.375 Cu
0.500 0.000 0.000 Cu
0.250 0.375 0.625 Cu
0.625 0.750 0.875 Cu
0.875 0.250 0.625 Cu
0.000 0.000 0.500 Cu
0.750 0.125 0.875 Cu
0.500 0.500 0.000 Cu
0.250 0.875 0.125 Cu
0.875 0.625 0.750 Cu
0.625 0.875 0.250 Cu
0.500 0.500 0.500 Cu
0.375 0.125 0.750 Cu
0.375 0.750 0.625 Pu
0.125 0.250 0.875 Pu
0.750 0.875 0.625 Pu
0.625 0.375 0.750 Pu
0.375 0.625 0.250 Pu
0.875 0.750 0.125 Pu
0.250 0.125 0.375 Pu
0.750 0.375 0.125 Pu
0.625 0.250 0.375 Pu
0.875 0.125 0.250 Pu
0.125 0.875 0.750 Pu
0.250 0.625 0.875 Pu
```

Values from the calculation:
Symmetry = Ia-3d (230)
Uncorrected formation energy = -32.02 eV per formula unit
D(E_F) = 1.140 states/eV per atom
Crystal system = cubic

---

No. 12
Density functional theory data (PBE) for an optimized crystal structure of PuCuO6.

POSCAR file:
```
PuCuO6
1.0
8.884 -0.471 2.631
4.116 2.615 1.024
1.975 -0.337 5.173
O Cu Pu
6 1 1
Direct
0.731 0.405 0.386 O
0.742 0.975 0.152 O
0.198 0.478 0.190 O
0.258 0.025 0.848 O
0.269 0.595 0.614 O
0.802 0.522 0.810 O
0.500 0.000 0.500 Cu
0.000 0.000 0.000 Pu
```

Values from the calculation:
Symmetry = P-1 (2)
Uncorrected formation energy = -8.83 eV per formula unit
D(E_F) = 0.595 states/eV per atom
Crystal system = triclinic

---

No. 13
Density functional theory data (PBE) for an optimized crystal structure of Rb2PuCuO6.

POSCAR file:
```
Rb2PuCuO6
1.0
6.067 0.000 0.000
3.033 5.254 0.000
3.033 1.751 9.878
O Rb Pu Cu
12 4 2 2
Direct
0.790 0.790 0.119 O
0.165 0.598 0.638 O
0.210 0.698 0.881 O
0.210 0.210 0.881 O
0.598 0.598 0.638 O
0.402 0.402 0.362 O
0.302 0.790 0.119 O
0.790 0.302 0.119 O
0.698 0.210 0.881 O
0.835 0.402 0.362 O
0.402 0.835 0.362 O
0.598 0.165 0.638 O
0.867 0.867 0.399 Rb
0.714 0.714 0.858 Rb
0.286 0.286 0.142 Rb
0.133 0.133 0.601 Rb
0.408 0.408 0.776 Pu
0.592 0.592 0.224 Pu
0.500 0.500 0.500 Cu
0.000 0.000 0.000 Cu
```

Values from the calculation:
Symmetry = R-3m (166)
Uncorrected formation energy = -16.22 eV per formula unit
D(E_F) = 0.540 states/eV per atom
Crystal system = trigonal

---

No. 14
Density functional theory data (PBE) for an optimized crystal structure of RbPuCu2O6.

POSCAR file:
```
RbPuCu2O6
1.0
6.616 -0.642 -0.666
1.422 6.862 -0.416
1.422 -0.670 6.841
Rb Cu Pu O
2 4 2 12
Direct
0.750 0.090 0.910 Rb
0.250 0.910 0.090 Rb
0.385 0.753 0.602 Cu
0.115 0.398 0.247 Cu
0.885 0.602 0.753 Cu
0.615 0.247 0.398 Cu
0.250 0.302 0.698 Pu
0.750 0.698 0.302 Pu
0.041 0.679 0.308 O
0.459 0.692 0.321 O
0.311 0.273 0.388 O
0.689 0.727 0.612 O
0.189 0.612 0.727 O
0.959 0.321 0.692 O
0.541 0.308 0.679 O
0.271 0.013 0.694 O
0.771 0.694 0.013 O
0.229 0.306 0.987 O
0.811 0.388 0.273 O
0.729 0.987 0.306 O
```

Values from the calculation:
Symmetry = C2/c (15)
Uncorrected formation energy = -14.31 eV per formula unit
D(E_F) = 0.795 states/eV per atom
Crystal system = monoclinic

---

No. 15
Density functional theory data (PBE) for an optimized crystal structure of Rb2PuCu2O6.

POSCAR file:
```
Rb2PuCu2O6
1.0
6.043 0.000 0.000
3.022 5.234 0.000
3.022 1.745 5.897
Cu Pu O Rb
2 1 6 2
Direct
0.593 0.593 0.220 Cu
0.407 0.407 0.780 Cu
0.000 0.000 0.000 Pu
0.226 0.758 0.789 O
0.226 0.226 0.789 O
0.774 0.774 0.211 O
0.774 0.242 0.211 O
0.758 0.226 0.789 O
0.242 0.774 0.211 O
0.784 0.784 0.647 Rb
0.216 0.216 0.353 Rb
```

Values from the calculation:
Symmetry = R-3m (166)
Uncorrected formation energy = -17.88 eV per formula unit
D(E_F) = 0.335 states/eV per atom
Crystal system = trigonal

---

No. 16
Density functional theory data (PBE) for an optimized crystal structure of Rb3PuCu2O6.

POSCAR file:
```
Rb3PuCu2O6
1.0
6.127 0.000 0.000
-3.064 5.306 0.000
0.000 0.000 7.259
Cu O Rb Pu
2 6 3 1
Direct
0.333 0.667 0.309 Cu
0.667 0.333 0.691 Cu
0.844 0.688 0.674 O
0.688 0.844 0.326 O
0.844 0.156 0.674 O
0.312 0.156 0.674 O
0.156 0.312 0.326 O
0.156 0.844 0.326 O
0.000 0.000 0.000 Rb
0.667 0.333 0.271 Rb
0.333 0.667 0.729 Rb
0.000 0.000 0.500 Pu
```

Values from the calculation:
Symmetry = P-3m1 (164)
Uncorrected formation energy = -19.30 eV per formula unit
D(E_F) = 0.211 states/eV per atom
Crystal system = trigonal